(1)
Material: LiTa2Cu
Method: DFT, PBE
State: relaxed

Cell and atoms, written as extended XYZ:
```
4
Lattice="-1.9268 1.9268 4.1488 1.9268 -1.9268 4.1488 1.9268 1.9268 -4.1488" Properties=species:S:1:pos:R:3 pbc="T T T"
Li 0.0000 0.0000 0.0000
Ta 1.9268 0.0000 2.0744
Ta 0.0000 0.0000 4.1488
Cu 0.0000 1.9268 2.0744
```

Summary:
Calculated formation energy = 0.3991 eV/atom
Spin magnetization = 0.00 μB per cell
Energy above the most stable polymorph in this dataset = 239.2 meV per atom

(2)
Material: LiTaCu3
Method: DFT, PBE
State: relaxed

Cell and atoms, written as extended XYZ:
```
5
Lattice="4.0483 0.0000 0.0000 0.0000 4.0483 0.0000 0.0000 0.0000 4.0483" Properties=species:S:1:pos:R:3 pbc="T T T"
Li 0.0000 0.0000 0.0000
Ta 2.0241 2.0241 2.0241
Cu 0.0000 0.0000 2.0241
Cu 0.0000 2.0241 0.0000
Cu 2.0241 0.0000 0.0000
```

Summary:
Calculated formation energy = 0.6320 eV/atom
Spin magnetization = 0.00 μB per cell
Energy above the most stable polymorph in this dataset = 0.0 meV per atom

(3)
Material: Li2Ta2Cu
Method: DFT, PBE
State: relaxed

Cell and atoms, written as extended XYZ:
```
5
Lattice="-1.8895 1.8895 5.6575 1.8895 -1.8895 5.6575 1.8895 1.8895 -5.6575" Properties=species:S:1:pos:R:3 pbc="T T T"
Li 0.0000 0.0000 0.9166
Li 0.0000 0.0000 10.3984
Ta 1.8895 0.0000 2.8288
Ta 0.0000 1.8895 2.8288
Cu 0.0000 0.0000 5.6575
```

Summary:
Calculated formation energy = 0.7669 eV/atom
Spin magnetization = 0.00 μB per cell
Energy above the most stable polymorph in this dataset = 281.6 meV per atom